(1)
PBE-GGA Li2NiTe2, relaxed; uncorrected formation energy = -10.1 kcal/mol of atoms; theoretical density = 5.11 g/cm3; space group = P4/mbm, No. 127; uncorrected energy = -3.616 eV/atom
1.0
-1.9008 -1.0692 -6.6359
5.9873 -3.4035 -1.1666
-1.9110 -3.7570 1.1528
Ni Te Li
2 4 4
direct
0.0000 0.0000 0.0000
0.5000 0.5000 0.0000
0.3294 0.8294 0.0000
0.8294 0.6706 0.0000
0.6706 0.1706 0.0000
0.1706 0.3294 0.0000
0.1488 0.6488 0.5000
0.6488 0.8512 0.5000
0.8512 0.3512 0.5000
0.3512 0.1488 0.5000



(2)
PBE-GGA Nb3PtC, relaxed; theoretical density = 6.95 g/cm3; space group = Pm-3m, No. 221; energy of formation from the pure elements = 2289 meV per atom; energy above the most stable polymorph in this dataset = 2799 meV per atom; uncorrected energy = -6.806 eV/atom
1.0
4.8772 0.0000 0.0000
0.0000 4.8772 0.0000
0.0000 0.0000 4.8772
Nb C Pt
3 1 1
direct
0.0000 0.5000 0.0000
0.0000 0.0000 0.5000
0.5000 0.0000 0.0000
0.5000 0.5000 0.5000
0.0000 0.0000 0.0000



(3)
PBE-GGA VCr2Cu2, relaxed; theoretical density = 7.09 g/cm3; space group = I4/mmm, No. 139; energy of formation from the pure elements = 458 meV per atom; energy above the most stable polymorph in this dataset = 0 meV per atom; uncorrected energy = -6.853 eV/atom
1.0
3.4321 0.0000 0.0000
0.0000 3.4321 0.0000
1.7161 1.7161 5.6051
Cr Cu V
2 2 1
direct
0.4137 0.4137 0.1727
0.5863 0.5863 0.8273
0.7500 0.2500 0.5000
0.2500 0.7500 0.5000
0.0000 0.0000 0.0000



(4)
PBE-GGA RbGaHg2Te, relaxed; uncorrected formation energy = -7.3 kcal/mol of atoms; theoretical density = 6.42 g/cm3; space group = P4/mmm, No. 123; uncorrected energy = -1.863 eV/atom
1.0
5.4927 0.0000 0.0000
0.0000 5.4927 0.0000
0.0000 0.0000 5.8656
Ga Te Hg Rb
1 1 2 1
direct
0.0000 0.0000 0.0000
0.0000 0.0000 0.5000
0.0000 0.5000 0.0000
0.5000 0.0000 0.0000
0.5000 0.5000 0.5000



(5)
PBE-GGA SnPOsS2, relaxed; uncorrected formation energy = 39.6 kcal/mol of atoms; theoretical density = 5.58 g/cm3; space group = P4/mmm, No. 123; energy above the most stable polymorph in this dataset = 1305 meV per atom; uncorrected energy = -4.064 eV/atom
1.0
-1.2399 -1.8741 -4.3034
-0.8804 -4.2792 2.1172
-4.8451 1.3883 0.7914
P S Os Sn
1 2 1 1
direct
0.0000 0.0000 0.5000
0.0000 0.5000 0.0000
0.5000 0.0000 0.0000
0.5000 0.5000 0.5000
0.0000 0.0000 0.0000



(6)
PBE-GGA Hf2AgB, relaxed; theoretical density = 10.78 g/cm3; space group = I-42d, No. 122; energy of formation from the pure elements = 211 meV per atom; energy above the most stable polymorph in this dataset = 0 meV per atom; uncorrected energy = -7.148 eV/atom
1.0
6.9242 0.0000 0.0000
0.0000 6.9242 0.0000
3.4621 3.4621 3.0567
B Hf Ag
2 4 2
direct
0.5000 0.5000 0.0000
0.2500 0.7500 0.5000
0.5622 0.1250 0.2500
0.1878 0.6250 0.2500
0.3750 0.4378 0.7500
0.8750 0.8122 0.7500
0.0000 0.0000 0.0000
0.7500 0.2500 0.5000